No. 1
This record from Alexandria describes an optimized crystal structure of KIr. The functional is GGA-PBE.

Cell lengths 19.8635, 2.8678, 6.5264 Å; angles 90.00, 109.12, 90.00 degrees
Closest atoms and distances in Å follow each position.
Space group Cm (No. 8)
Asymmetric unit:
K 0.0000 0.0000 0.0000  2 K 2.87
K 0.0298 0.0000 0.5296  2 K 2.87, 1 Ir 3.00
K 0.2910 0.0000 0.2898  2 K 2.87
Ir 0.1485 0.5000 0.9561  3 Ir 2.50-2.59
Ir 0.1485 0.5000 0.3395  3 Ir 2.50-2.59
Ir 0.1896 0.0000 0.6888  6 Ir 2.59-2.87

Computed properties:
**Calculated formation energy**: 0.564 eV/atom
**ρ**: 6.561 g/cm³
**Polymorph energy (0 for the lowest one)**: 0.198 eV/atom



No. 2
This record from Alexandria describes an optimized crystal structure of Pm2EuTm. The functional is GGA-PBE.

Cell lengths 3.6515, 3.6515, 10.3674 Å; angles 90.00, 90.00, 90.00 degrees
Closest atoms and distances in Å follow each position.
Space group P4/mmm (No. 123)
Asymmetric unit:
Pm 0.0000 0.0000 0.2338  4 Tm 3.54, 4 Pm 3.65, 4 Eu 3.78
Eu 0.5000 0.5000 0.5000  4 Eu 3.65, 8 Pm 3.78
Tm 0.5000 0.5000 0.0000  8 Pm 3.54, 4 Tm 3.65

Computed properties:
**Calculated formation energy**: 0.042 eV/atom
**ρ**: 7.339 g/cm³
**Polymorph energy (0 for the lowest one)**: 0.000 eV/atom



No. 3
This record from Alexandria describes an optimized crystal structure of Rb2HfNbPb. The functional is GGA-PBE.

Cell lengths 6.5152, 6.5152, 5.5399 Å; angles 90.00, 90.00, 90.00 degrees
Closest atoms and distances in Å follow each position.
Space group P4/mmm (No. 123)
Asymmetric unit:
Rb 0.0000 0.5000 0.0000  2 Pb 3.26
Hf 0.0000 0.0000 0.5000  8 Rb 4.28, 4 Nb 4.61
Nb 0.5000 0.5000 0.5000  2 Pb 2.77
Pb 0.5000 0.5000 0.0000  2 Nb 2.77

Computed properties:
**Calculated formation energy**: 1.768 eV/atom
**ρ**: 4.587 g/cm³
**Polymorph energy (0 for the lowest one)**: 0.296 eV/atom



No. 4
This record from Alexandria describes an optimized crystal structure of LaScRe2Pt. The functional is GGA-PBE.

Cell lengths 4.7303, 4.7303, 4.8214 Å; angles 90.00, 90.00, 90.00 degrees
Closest atoms and distances in Å follow each position.
Space group P4/mmm (No. 123)
Asymmetric unit:
La 0.0000 0.0000 0.0000  4 Re 2.37, 2 Sc 2.41
Sc 0.0000 0.0000 0.5000  2 La 2.41
Re 0.0000 0.5000 0.0000  2 La 2.37
Pt 0.5000 0.5000 0.5000  4 Sc 3.34, 8 Re 3.38

Computed properties:
**Calculated formation energy**: 2.075 eV/atom
**ρ**: 11.565 g/cm³



No. 5
This record from Alexandria describes an optimized crystal structure of CsCu2SnS4. The functional is GGA-PBE.

Cell lengths 6.4368, 6.4368, 9.5222 Å; angles 90.00, 90.00, 90.00 degrees
Closest atoms and distances in Å follow each position.
Space group I-42m (No. 121)
Asymmetric unit:
Cs 0.0000 0.0000 0.0000  4 S 3.19
Cu 0.0000 0.5000 0.2500  4 S 2.43
Sn 0.0000 0.0000 0.5000  4 S 2.45
S 0.1998 0.1998 0.6732  2 Cu 2.43, 1 Sn 2.45

Computed properties:
**ρ**: 4.268 g/cm³
**Uncorrected formation energy**: -355 meV/atom



No. 6
This record from Alexandria describes an optimized crystal structure of La2PmZn3. The functional is GGA-PBE.

Cell lengths 5.2685, 5.2685, 6.4641 Å; angles 90.00, 90.00, 120.00 degrees
Closest atoms and distances in Å follow each position.
Space group P-3m1 (No. 164)
Asymmetric unit:
La 0.3333 0.6667 0.1694  8 Zn 3.19-3.28
Pm 0.0000 0.0000 0.5000  8 Zn 3.22-3.23
Zn 0.0000 0.0000 0.0000  2 Pm 3.23, 6 La 3.23
Zn 0.3333 0.6667 0.6621  5 La 3.19-3.28, 3 Pm 3.22

Computed properties:
**Calculated formation energy**: -0.312 eV/atom
**ρ**: 6.615 g/cm³
**Polymorph energy (0 for the lowest one)**: 0.000 eV/atom



No. 7
This record from Alexandria describes an optimized crystal structure of TeWBr2. The functional is GGA-PBE.

Cell lengths 7.0935, 7.0935, 7.0935 Å; angles 90.00, 90.00, 90.00 degrees
Closest atoms and distances in Å follow each position.
Space group F-43m (No. 216)
Asymmetric unit:
Te 0.0000 0.0000 0.0000  4 W 3.07, 4 Br 3.07
W 0.2500 0.2500 0.2500  4 Br 3.07, 4 Te 3.07
Br 0.0000 0.0000 0.5000  4 W 3.07, 4 Br 3.07
Br 0.2500 0.2500 0.7500  4 Br 3.07, 4 Te 3.07

Computed properties:
**ρ**: 8.769 g/cm³
**Polymorph energy (0 for the lowest one)**: 0.909 eV/atom
**Uncorrected formation energy**: 855 meV/atom



No. 8
This record from Alexandria describes an optimized crystal structure of Ac2AlIr. The functional is GGA-PBE.

Cell lengths 4.4212, 4.4212, 23.3820 Å; angles 90.00, 90.00, 120.00 degrees
Closest atoms and distances in Å follow each position.
Space group R3m (No. 160, hexagonal axes)
Asymmetric unit:
Ac 0.0000 0.0000 0.0000  3 Al 3.24, 3 Ir 3.24
Ac 0.0000 0.0000 0.1713  3 Ir 3.25, 3 Al 3.25
Al 0.0000 0.0000 0.4186  3 Ir 2.55
Ir 0.0000 0.0000 0.7522  3 Al 2.55

Computed properties:
**Calculated formation energy**: -0.538 eV/atom
**ρ**: 8.471 g/cm³



Q: What is the ρ in the second record?
A: 7.339 g/cm³